1.
First-principles (GGA-PBEsol) data for crystalline ZrMn2Cr at its relaxed geometry, as listed in the Alexandria database.

The space group is P4/mmm (No. 123) and the conventional cell measures 2.8438, 2.8438 and 6.6375 Å, with angles of 90.00, 90.00 and 90.00 degrees. The distinct sites, in fractional coordinates, are Zr at (0.0000, 0.0000, 0.0000), Mn at (0.5000, 0.5000, 0.3005) and Cr at (0.0000, 0.0000, 0.5000).

The energy relative to the elements is 0.085 eV/atom. The final energy comes out at -9.63 eV per atom. The calculated density is 7.8 Mg/m³.

2.
First-principles (GGA-PBEsol) data for crystalline TlHgO2 at its relaxed geometry, as listed in the Alexandria database.

The space group is I-42d (No. 122) and the conventional cell measures 5.2582, 5.2582 and 10.5269 Å, with angles of 90.00, 90.00 and 90.00 degrees. The distinct sites, in fractional coordinates, are Tl at (0.0000, 0.0000, 0.0000), Hg at (0.0000, 0.0000, 0.5000) and O at (0.2429, 0.2500, 0.1250).

The final energy comes out at -3.82 eV per atom. The calculated density is 10.0 Mg/m³. The uncorrected formation energy is -0.40 eV per atom.

3.
First-principles (GGA-PBEsol) data for crystalline Pr5AgSn3 at its relaxed geometry, as listed in the Alexandria database.

The space group is P6_3/mcm (No. 193) and the conventional cell measures 9.6520, 9.6520 and 6.8404 Å, with angles of 90.00, 90.00 and 120.00 degrees. The distinct sites, in fractional coordinates, are Pr at (0.0000, 0.2739, 0.2500), Pr at (0.3333, 0.6667, 0.0000), Ag at (0.0000, 0.0000, 0.0000) and Sn at (0.0000, 0.3791, 0.7500).

The energy relative to the elements is -0.656 eV/atom. The final energy comes out at -5.32 eV per atom. The calculated density is 7.0 Mg/m³.

4.
First-principles (GGA-PBEsol) data for crystalline HfW3Au at its relaxed geometry, as listed in the Alexandria database.

The space group is Pm-3m (No. 221) and the conventional cell measures 4.6918, 4.6918 and 4.6918 Å, with angles of 90.00, 90.00 and 90.00 degrees. The distinct sites, in fractional coordinates, are Hf at (0.0000, 0.0000, 0.0000), W at (0.0000, 0.0000, 0.5000) and Au at (0.5000, 0.5000, 0.5000).

The energy relative to the elements is 2.578 eV/atom. The final energy comes out at -8.59 eV per atom. The calculated density is 14.9 Mg/m³.

5.
First-principles (GGA-PBEsol) data for crystalline Na2AlPt2 at its relaxed geometry, as listed in the Alexandria database.

The space group is P4/mbm (No. 127) and the conventional cell measures 6.2449, 6.2449 and 4.9286 Å, with angles of 90.00, 90.00 and 90.00 degrees. The distinct sites, in fractional coordinates, are Na at (0.1683, 0.3317, 0.0000), Al at (0.0000, 0.0000, 0.5000) and Pt at (0.1430, 0.6430, 0.5000).

The energy relative to the elements is -0.387 eV/atom. The final energy comes out at -4.55 eV per atom. The calculated density is 8.0 Mg/m³.

6.
First-principles (GGA-PBEsol) data for crystalline Mg3TiBe at its relaxed geometry, as listed in the Alexandria database.

The space group is Pm-3m (No. 221) and the conventional cell measures 5.2664, 5.2664 and 5.2664 Å, with angles of 90.00, 90.00 and 90.00 degrees. The distinct sites, in fractional coordinates, are Mg at (0.0000, 0.0000, 0.5000), Ti at (0.0000, 0.0000, 0.0000) and Be at (0.5000, 0.5000, 0.5000).

The energy relative to the elements is 1.531 eV/atom. The final energy comes out at -1.96 eV per atom. The calculated density is 1.5 Mg/m³.

7.
First-principles (GGA-PBEsol) data for crystalline LaYW2 at its relaxed geometry, as listed in the Alexandria database.

The space group is R-3m (No. 166, hexagonal axes) and the conventional cell measures 2.9591, 2.9591 and 32.6815 Å, with angles of 90.00, 90.00 and 120.00 degrees. The distinct sites, in fractional coordinates, are La at (0.0000, 0.0000, 0.0000), Y at (0.0000, 0.0000, 0.5000) and W at (0.0000, 0.0000, 0.2467).

The energy relative to the elements is 0.941 eV/atom. The final energy comes out at -9.00 eV per atom. The calculated density is 12.0 Mg/m³.

8.
First-principles (GGA-PBEsol) data for crystalline MgI2O6 at its relaxed geometry, as listed in the Alexandria database.

The space group is P2_12_12_1 (No. 19) and the conventional cell measures 5.2882, 5.6321 and 16.6518 Å, with angles of 90.00, 90.00 and 90.00 degrees. The distinct sites, in fractional coordinates, are Mg at (0.1993, 0.1745, 0.0924), I at (0.0391, 0.8537, 0.9246), I at (0.2442, 0.2637, 0.7899), O at (0.0222, 0.0404, 0.2023), O at (0.0245, 0.4653, 0.8426), O at (0.0680, 0.6117, 0.5158), O at (0.1094, 0.4943, 0.6673), O at (0.1278, 0.8946, 0.3804) and O at (0.2460, 0.1699, 0.5479).

The final energy comes out at -5.02 eV per atom. The calculated density is 5.0 Mg/m³. The uncorrected formation energy is -0.94 eV per atom.

9.
First-principles (GGA-PBEsol) data for crystalline FeAsAu2 at its relaxed geometry, as listed in the Alexandria database.

The space group is I-4m2 (No. 119) and the conventional cell measures 4.1785, 4.1785 and 7.2813 Å, with angles of 90.00, 90.00 and 90.00 degrees. The distinct sites, in fractional coordinates, are Fe at (0.0000, 0.0000, 0.0000), As at (0.0000, 0.5000, 0.2500), Au at (0.0000, 0.0000, 0.5000) and Au at (0.0000, 0.5000, 0.7500).

The energy relative to the elements is 0.300 eV/atom. The final energy comes out at -5.18 eV per atom. The calculated density is 13.7 Mg/m³.

10.
First-principles (GGA-PBEsol) data for crystalline KLaTc2Te at its relaxed geometry, as listed in the Alexandria database.

The space group is P4/mmm (No. 123) and the conventional cell measures 4.5846, 4.5846 and 5.7808 Å, with angles of 90.00, 90.00 and 90.00 degrees. The distinct sites, in fractional coordinates, are K at (0.0000, 0.0000, 0.0000), La at (0.5000, 0.5000, 0.5000), Tc at (0.0000, 0.5000, 0.0000) and Te at (0.0000, 0.0000, 0.5000).

The final energy comes out at -4.71 eV per atom. The calculated density is 6.9 Mg/m³. The uncorrected formation energy is 1.80 eV per atom.

11.
First-principles (GGA-PBEsol) data for crystalline CrRuRh2 at its relaxed geometry, as listed in the Alexandria database.

The space group is I-4m2 (No. 119) and the conventional cell measures 3.7471, 3.7471 and 7.3513 Å, with angles of 90.00, 90.00 and 90.00 degrees. The distinct sites, in fractional coordinates, are Cr at (0.0000, 0.0000, 0.0000), Ru at (0.0000, 0.5000, 0.2500), Rh at (0.0000, 0.0000, 0.5000) and Rh at (0.0000, 0.5000, 0.7500).

The energy relative to the elements is -0.001 eV/atom. The final energy comes out at -9.17 eV per atom. The calculated density is 11.5 Mg/m³.

12.
First-principles (GGA-PBEsol) data for crystalline BiSeNO2 at its relaxed geometry, as listed in the Alexandria database.

The space group is P4/mmm (No. 123) and the conventional cell measures 4.1241, 4.1241 and 4.3894 Å, with angles of 90.00, 90.00 and 90.00 degrees. The distinct sites, in fractional coordinates, are Bi at (0.0000, 0.0000, 0.0000), Se at (0.5000, 0.5000, 0.5000), N at (0.0000, 0.0000, 0.5000) and O at (0.0000, 0.5000, 0.0000).

The final energy comes out at -4.73 eV per atom. The calculated density is 7.4 Mg/m³. The uncorrected formation energy is 0.70 eV per atom.

13.
First-principles (GGA-PBEsol) data for crystalline MgSi3I at its relaxed geometry, as listed in the Alexandria database.

The space group is Pm-3m (No. 221) and the conventional cell measures 4.9770, 4.9770 and 4.9770 Å, with angles of 90.00, 90.00 and 90.00 degrees. The distinct sites, in fractional coordinates, are Mg at (0.0000, 0.0000, 0.0000), Si at (0.0000, 0.0000, 0.5000) and I at (0.5000, 0.5000, 0.5000).

The final energy comes out at -3.05 eV per atom. The calculated density is 3.2 Mg/m³. The uncorrected formation energy is 1.09 eV per atom.

14.
First-principles (GGA-PBEsol) data for crystalline CaHg2Cl at its relaxed geometry, as listed in the Alexandria database.

The space group is Cm (No. 8) and the conventional cell measures 9.5464, 3.8835 and 5.9488 Å, with angles of 90.00, 111.42 and 90.00 degrees. The distinct sites, in fractional coordinates, are Ca at (0.0000, 0.0000, 0.0000), Hg at (0.0125, 0.5000, 0.4425), Hg at (0.2618, 0.0000, 0.5966) and Cl at (0.2085, 0.5000, 0.0295).

The final energy comes out at -2.18 eV per atom. The calculated density is 7.7 Mg/m³. The uncorrected formation energy is -0.87 eV per atom.

15.
First-principles (GGA-PBEsol) data for crystalline LiHf3Te at its relaxed geometry, as listed in the Alexandria database.

The space group is Pm-3m (No. 221) and the conventional cell measures 5.2091, 5.2091 and 5.2091 Å, with angles of 90.00, 90.00 and 90.00 degrees. The distinct sites, in fractional coordinates, are Li at (0.0000, 0.0000, 0.0000), Hf at (0.0000, 0.5000, 0.5000) and Te at (0.5000, 0.5000, 0.5000).

The final energy comes out at -6.47 eV per atom. The calculated density is 7.9 Mg/m³. The uncorrected formation energy is 0.93 eV per atom.

16.
First-principles (GGA-PBEsol) data for crystalline In2Si2O7 at its relaxed geometry, as listed in the Alexandria database.

The space group is C2/m (No. 12) and the conventional cell measures 6.6238, 8.6703 and 4.7300 Å, with angles of 90.00, 102.61 and 90.00 degrees. The distinct sites, in fractional coordinates, are In at (0.0000, 0.1924, 0.0000), Si at (0.2218, 0.5000, 0.4086), O at (0.0000, 0.5000, 0.5000), O at (0.1073, 0.0000, 0.2834) and O at (0.2357, 0.3432, 0.2179).

The final energy comes out at -7.21 eV per atom. The calculated density is 5.0 Mg/m³. The uncorrected formation energy is -2.28 eV per atom.

17.
First-principles (GGA-PBEsol) data for crystalline PrNiAs at its relaxed geometry, as listed in the Alexandria database.

The space group is P-6m2 (No. 187) and the conventional cell measures 4.0837, 4.0837 and 4.0327 Å, with angles of 90.00, 90.00 and 120.00 degrees. The distinct sites, in fractional coordinates, are Pr at (0.0000, 0.0000, 0.0000), Ni at (0.3333, 0.6667, 0.5000) and As at (0.6667, 0.3333, 0.5000).

The energy relative to the elements is -1.039 eV/atom. The final energy comes out at -6.52 eV per atom. The calculated density is 7.8 Mg/m³.

18.
First-principles (GGA-PBEsol) data for crystalline Li2PtW at its relaxed geometry, as listed in the Alexandria database.

The space group is F-43m (No. 216) and the conventional cell measures 5.9848, 5.9848 and 5.9848 Å, with angles of 90.00, 90.00 and 90.00 degrees. The distinct sites, in fractional coordinates, are Li at (0.0000, 0.0000, 0.0000), Li at (0.2500, 0.2500, 0.2500), Pt at (0.2500, 0.2500, 0.7500) and W at (0.0000, 0.0000, 0.5000).

The energy relative to the elements is -0.006 eV/atom. The final energy comes out at -6.18 eV per atom. The calculated density is 12.2 Mg/m³.

19.
First-principles (GGA-PBEsol) data for crystalline EuICl at its relaxed geometry, as listed in the Alexandria database.

The space group is Pnma (No. 62) and the conventional cell measures 8.0218, 4.5718 and 9.2594 Å, with angles of 90.00, 90.00 and 90.00 degrees. The distinct sites, in fractional coordinates, are Eu at (0.2163, 0.2500, 0.1242), I at (0.0261, 0.7500, 0.3326) and Cl at (0.1439, 0.7500, 0.9356).

The final energy comes out at -6.79 eV per atom. The calculated density is 6.1 Mg/m³. The uncorrected formation energy is -2.01 eV per atom.

20.
First-principles (GGA-PBEsol) data for crystalline Nd2MgCu2 at its relaxed geometry, as listed in the Alexandria database.

The space group is P4/mbm (No. 127) and the conventional cell measures 7.6959, 7.6959 and 3.7553 Å, with angles of 90.00, 90.00 and 90.00 degrees. The distinct sites, in fractional coordinates, are Nd at (0.1704, 0.3296, 0.0000), Mg at (0.0000, 0.0000, 0.5000) and Cu at (0.1210, 0.6210, 0.5000).

The energy relative to the elements is -0.168 eV/atom. The final energy comes out at -4.31 eV per atom. The calculated density is 6.6 Mg/m³.

21.
First-principles (GGA-PBEsol) data for crystalline SiNiAg2 at its relaxed geometry, as listed in the Alexandria database.

The space group is P4/mmm (No. 123) and the conventional cell measures 2.7174, 2.7174 and 7.9215 Å, with angles of 90.00, 90.00 and 90.00 degrees. The distinct sites, in fractional coordinates, are Si at (0.0000, 0.0000, 0.0000), Ni at (0.0000, 0.0000, 0.5000) and Ag at (0.5000, 0.5000, 0.2663).

The final energy comes out at -4.35 eV per atom. The calculated density is 8.6 Mg/m³. The uncorrected formation energy is 0.28 eV per atom.

22.
First-principles (GGA-PBEsol) data for crystalline TlSi2As at its relaxed geometry, as listed in the Alexandria database.

The space group is C2/m (No. 12) and the conventional cell measures 8.7964, 3.5241 and 5.9070 Å, with angles of 90.00, 111.86 and 90.00 degrees. The distinct sites, in fractional coordinates, are Tl at (0.0000, 0.0000, 0.0000), Si at (0.2360, 0.0000, 0.6462) and As at (0.0000, 0.5000, 0.5000).

The final energy comes out at -4.45 eV per atom. The calculated density is 6.6 Mg/m³. The uncorrected formation energy is 0.36 eV per atom.

23.
First-principles (GGA-PBEsol) data for crystalline MgAu3I at its relaxed geometry, as listed in the Alexandria database.

The space group is Pm-3m (No. 221) and the conventional cell measures 4.9548, 4.9548 and 4.9548 Å, with angles of 90.00, 90.00 and 90.00 degrees. The distinct sites, in fractional coordinates, are Mg at (0.0000, 0.0000, 0.0000), Au at (0.0000, 0.0000, 0.5000) and I at (0.5000, 0.5000, 0.5000).

The final energy comes out at -2.43 eV per atom. The calculated density is 10.1 Mg/m³. The uncorrected formation energy is 0.62 eV per atom.

24.
First-principles (GGA-PBEsol) data for crystalline KTlC3 at its relaxed geometry, as listed in the Alexandria database.

The space group is Pm-3m (No. 221) and the conventional cell measures 5.3384, 5.3384 and 5.3384 Å, with angles of 90.00, 90.00 and 90.00 degrees. The distinct sites, in fractional coordinates, are K at (0.0000, 0.0000, 0.0000), Tl at (0.5000, 0.5000, 0.5000) and C at (0.0000, 0.0000, 0.5000).

The energy relative to the elements is 3.982 eV/atom. The final energy comes out at -2.56 eV per atom. The calculated density is 3.1 Mg/m³.

25.
First-principles (GGA-PBEsol) data for crystalline ZnCu2SiTe4 at its relaxed geometry, as listed in the Alexandria database.

The space group is I-42m (No. 121) and the conventional cell measures 5.9407, 5.9407 and 11.7803 Å, with angles of 90.00, 90.00 and 90.00 degrees. The distinct sites, in fractional coordinates, are Zn at (0.0000, 0.0000, 0.0000), Cu at (0.0000, 0.5000, 0.2500), Si at (0.0000, 0.0000, 0.5000) and Te at (0.2432, 0.2432, 0.3691).

The final energy comes out at -3.90 eV per atom. The calculated density is 5.8 Mg/m³. The uncorrected formation energy is -0.14 eV per atom.